Density functional theory data (meta-GGA SCAN) for Sr2InAs at its PBEsol-relaxed geometry.

For the density of states at the Fermi level, the calculation gives 0.227 states/eV/atom. Its total energy is -25.37 eV/atom.

Cell and atoms, written as CIF:
```
data_Sr2InAs
_cell_length_a 4.005
_cell_length_b 4.005
_cell_length_c 7.165
_cell_angle_alpha 90.00
_cell_angle_beta 90.00
_cell_angle_gamma 90.00
_symmetry_space_group_name_H-M 'P 4/m m m'
_symmetry_Int_Tables_number 123
_symmetry_space_group_name_Hall '-P 4 2'
loop_
_atom_site_label
_atom_site_type_symbol
_atom_site_fract_x
_atom_site_fract_y
_atom_site_fract_z
Sr1 Sr 0.000 0.000 0.221
In1 In 0.500 0.500 0.500
As1 As 0.500 0.500 0.000
```


Density functional theory data (meta-GGA SCAN) for Co2SiRh at its PBEsol-relaxed geometry.

For the density of states at the Fermi level, the calculation gives 0.475 states/eV/atom. The formation energy without anion corrections comes out at -0.310 eV per atom. Its total energy is -19.91 eV/atom.

Cell and atoms, written as CIF:
```
data_Co2SiRh
_cell_length_a 3.668
_cell_length_b 2.650
_cell_length_c 9.494
_cell_angle_alpha 90.00
_cell_angle_beta 90.00
_cell_angle_gamma 90.00
_symmetry_space_group_name_H-M 'A m m 2'
_symmetry_Int_Tables_number 38
loop_
_symmetry_equiv_pos_as_xyz
'x,y,z'
'-x,-y,z'
'-x,y,z'
'x,-y,z'
'x,y+1/2,z+1/2'
'-x,-y+1/2,z+1/2'
'-x,y+1/2,z+1/2'
'x,-y+1/2,z+1/2'
loop_
_atom_site_label
_atom_site_type_symbol
_atom_site_fract_x
_atom_site_fract_y
_atom_site_fract_z
Co1 Co 0.000 0.000 0.000
Co2 Co 0.500 0.000 0.405
Si1 Si 0.500 0.000 0.141
Rh1 Rh 0.000 0.000 0.742
```


Density functional theory data (meta-GGA SCAN) for RbSr2SnAs at its PBEsol-relaxed geometry.

For the density of states at the Fermi level, the calculation gives 0.689 states/eV/atom. Its total energy is -23.54 eV/atom.

Cell and atoms, written as CIF:
```
data_RbSr2SnAs
_cell_length_a 6.021
_cell_length_b 6.021
_cell_length_c 5.479
_cell_angle_alpha 90.00
_cell_angle_beta 90.00
_cell_angle_gamma 90.00
_symmetry_space_group_name_H-M 'P 4/m m m'
_symmetry_Int_Tables_number 123
_symmetry_space_group_name_Hall '-P 4 2'
loop_
_atom_site_label
_atom_site_type_symbol
_atom_site_fract_x
_atom_site_fract_y
_atom_site_fract_z
Rb1 Rb 0.000 0.000 0.000
Sr1 Sr 0.000 0.500 0.000
Sn1 Sn 0.500 0.500 0.500
As1 As 0.000 0.000 0.500
```


Density functional theory data (meta-GGA SCAN) for Al14Cu3Se24 at its PBEsol-relaxed geometry.

For the density of states at the Fermi level, the calculation gives 0.301 states/eV/atom. The formation energy without anion corrections comes out at -0.806 eV per atom. Its total energy is -16.32 eV/atom.

Cell and atoms, written as CIF:
```
data_Al14Cu3Se24
_cell_length_a 12.722
_cell_length_b 7.425
_cell_length_c 18.159
_cell_angle_alpha 90.00
_cell_angle_beta 90.55
_cell_angle_gamma 90.00
_symmetry_space_group_name_H-M 'C 1 m 1'
_symmetry_Int_Tables_number 8
loop_
_symmetry_equiv_pos_as_xyz
'x,y,z'
'x,-y,z'
'x+1/2,y+1/2,z'
'x+1/2,-y+1/2,z'
loop_
_atom_site_label
_atom_site_type_symbol
_atom_site_fract_x
_atom_site_fract_y
_atom_site_fract_z
Al1 Al 0.000 0.000 0.000
Al2 Al 0.005 0.000 0.617
Al3 Al 0.084 0.262 0.823
Al4 Al 0.156 0.500 0.659
Al5 Al 0.162 0.000 0.158
Al6 Al 0.176 0.500 0.287
Al7 Al 0.245 0.246 0.491
Al8 Al 0.321 0.500 0.822
Al9 Al 0.333 0.000 0.951
Al10 Al 0.339 0.000 0.335
Al11 Al 0.424 0.261 0.159
Cu1 Cu 0.167 0.500 0.033
Cu2 Cu 0.326 0.000 0.697
Cu3 Cu 0.491 0.500 0.371
Se1 Se 0.000 0.500 0.745
Se2 Se 0.004 0.000 0.239
Se3 Se 0.077 0.272 0.569
Se4 Se 0.082 0.239 0.078
Se5 Se 0.154 0.000 0.906
Se6 Se 0.156 0.500 0.417
Se7 Se 0.164 0.500 0.903
Se8 Se 0.172 0.000 0.408
Se9 Se 0.241 0.264 0.742
Se10 Se 0.261 0.230 0.240
Se11 Se 0.318 0.000 0.570
Se12 Se 0.318 0.500 0.574
Se13 Se 0.336 0.000 0.085
Se14 Se 0.342 0.500 0.079
Se15 Se 0.409 0.241 0.416
Se16 Se 0.420 0.269 0.907
Se17 Se 0.494 0.000 0.241
Se18 Se 0.496 0.500 0.752
```


Density functional theory data (meta-GGA SCAN) for ZnHgIr2 at its PBEsol-relaxed geometry.

For the density of states at the Fermi level, the calculation gives 0.899 states/eV/atom. Its total energy is -55.48 eV/atom.

Cell and atoms, written as CIF:
```
data_ZnHgIr2
_cell_length_a 6.278
_cell_length_b 6.278
_cell_length_c 6.278
_cell_angle_alpha 90.00
_cell_angle_beta 90.00
_cell_angle_gamma 90.00
_symmetry_space_group_name_H-M 'F -4 3 m'
_symmetry_Int_Tables_number 216
_symmetry_space_group_name_Hall 'F -4 2 3'
loop_
_atom_site_label
_atom_site_type_symbol
_atom_site_fract_x
_atom_site_fract_y
_atom_site_fract_z
Zn1 Zn 0.000 0.000 0.000
Hg1 Hg 0.250 0.250 0.250
Ir1 Ir 0.000 0.000 0.500
Ir2 Ir 0.250 0.250 0.750
```


Density functional theory data (meta-GGA SCAN) for TcNi2Te at its PBEsol-relaxed geometry.

For the density of states at the Fermi level, the calculation gives 0.849 states/eV/atom. The formation energy without anion corrections comes out at 0.461 eV per atom. Its total energy is -25.70 eV/atom.

Cell and atoms, written as CIF:
```
data_TcNi2Te
_cell_length_a 2.841
_cell_length_b 2.841
_cell_length_c 7.243
_cell_angle_alpha 90.00
_cell_angle_beta 90.00
_cell_angle_gamma 90.00
_symmetry_space_group_name_H-M 'P 4/m m m'
_symmetry_Int_Tables_number 123
_symmetry_space_group_name_Hall '-P 4 2'
loop_
_atom_site_label
_atom_site_type_symbol
_atom_site_fract_x
_atom_site_fract_y
_atom_site_fract_z
Tc1 Tc 0.000 0.000 0.000
Ni1 Ni 0.500 0.500 0.222
Te1 Te 0.000 0.000 0.500
```


Density functional theory data (meta-GGA SCAN) for Ag2Se at its PBEsol-relaxed geometry.

For the density of states at the Fermi level, the calculation gives 0.057 states/eV/atom. The formation energy without anion corrections comes out at -0.019 eV per atom. Its total energy is -27.62 eV/atom.

Cell and atoms, written as CIF:
```
data_Ag2Se
_cell_length_a 7.1125
_cell_length_b 7.1125
_cell_length_c 3.9144
_cell_angle_alpha 90.00
_cell_angle_beta 90.00
_cell_angle_gamma 120.00
_symmetry_space_group_name_H-M 'P -6 2 m'
_symmetry_Int_Tables_number 189
_symmetry_space_group_name_Hall 'P -6 -2'
loop_
_atom_site_label
_atom_site_type_symbol
_atom_site_fract_x
_atom_site_fract_y
_atom_site_fract_z
Ag1 Ag 0.0000 0.2654 0.0000
Ag2 Ag 0.0000 0.5971 0.5000
Se1 Se 0.0000 0.0000 0.5000
Se2 Se 0.3333 0.6667 0.0000
```


Density functional theory data (meta-GGA SCAN) for ZnReP2C at its PBEsol-relaxed geometry.

For the density of states at the Fermi level, the calculation gives 0.849 states/eV/atom. Its total energy is -20.97 eV/atom.

Cell and atoms, written as CIF:
```
data_ZnReP2C
_cell_length_a 4.573
_cell_length_b 4.573
_cell_length_c 3.457
_cell_angle_alpha 90.00
_cell_angle_beta 90.00
_cell_angle_gamma 90.00
_symmetry_space_group_name_H-M 'P 4/m m m'
_symmetry_Int_Tables_number 123
_symmetry_space_group_name_Hall '-P 4 2'
loop_
_atom_site_label
_atom_site_type_symbol
_atom_site_fract_x
_atom_site_fract_y
_atom_site_fract_z
Zn1 Zn 0.000 0.000 0.000
Re1 Re 0.500 0.500 0.500
P1 P 0.000 0.500 0.000
C1 C 0.000 0.000 0.500
```


Density functional theory data (meta-GGA SCAN) for CoWAu2 at its PBEsol-relaxed geometry.

For the density of states at the Fermi level, the calculation gives 0.636 states/eV/atom. Its distance to the lowest polymorph of the same formula is 0.086 eV/atom. Its total energy is -55.84 eV/atom.

Cell and atoms, written as CIF:
```
data_CoWAu2
_cell_length_a 3.009
_cell_length_b 4.342
_cell_length_c 9.074
_cell_angle_alpha 90.00
_cell_angle_beta 90.00
_cell_angle_gamma 90.00
_symmetry_space_group_name_H-M 'I m m m'
_symmetry_Int_Tables_number 71
_symmetry_space_group_name_Hall '-I 2 2'
loop_
_atom_site_label
_atom_site_type_symbol
_atom_site_fract_x
_atom_site_fract_y
_atom_site_fract_z
Co1 Co 0.000 0.000 0.000
W1 W 0.000 0.000 0.500
Au1 Au 0.000 0.500 0.268
```


Density functional theory data (meta-GGA SCAN) for LiCuSb3 at its PBEsol-relaxed geometry.

For the density of states at the Fermi level, the calculation gives 0.670 states/eV/atom. The formation energy without anion corrections comes out at 0.636 eV per atom. Its total energy is -25.24 eV/atom.

Cell and atoms, written as CIF:
```
data_LiCuSb3
_cell_length_a 4.864
_cell_length_b 4.864
_cell_length_c 4.864
_cell_angle_alpha 90.00
_cell_angle_beta 90.00
_cell_angle_gamma 90.00
_symmetry_space_group_name_H-M 'P m -3 m'
_symmetry_Int_Tables_number 221
_symmetry_space_group_name_Hall '-P 4 2 3'
loop_
_atom_site_label
_atom_site_type_symbol
_atom_site_fract_x
_atom_site_fract_y
_atom_site_fract_z
Li1 Li 0.000 0.000 0.000
Cu1 Cu 0.500 0.500 0.500
Sb1 Sb 0.000 0.000 0.500
```


Density functional theory data (meta-GGA SCAN) for Ti3FeNi at its PBEsol-relaxed geometry.

For the density of states at the Fermi level, the calculation gives 1.524 states/eV/atom. Its total energy is -15.97 eV/atom.

Cell and atoms, written as CIF:
```
data_Ti3FeNi
_cell_length_a 4.351
_cell_length_b 4.351
_cell_length_c 4.351
_cell_angle_alpha 90.00
_cell_angle_beta 90.00
_cell_angle_gamma 90.00
_symmetry_space_group_name_H-M 'P m -3 m'
_symmetry_Int_Tables_number 221
_symmetry_space_group_name_Hall '-P 4 2 3'
loop_
_atom_site_label
_atom_site_type_symbol
_atom_site_fract_x
_atom_site_fract_y
_atom_site_fract_z
Ti1 Ti 0.000 0.000 0.500
Fe1 Fe 0.000 0.000 0.000
Ni1 Ni 0.500 0.500 0.500
```


Density functional theory data (meta-GGA SCAN) for LiVOF3 at its PBEsol-relaxed geometry.

For the density of states at the Fermi level, the calculation gives 0.012 states/eV/atom. The formation energy without anion corrections comes out at -2.935 eV per atom. Its distance to the lowest polymorph of the same formula is 0.095 eV/atom. Its total energy is -9.06 eV/atom.

Cell and atoms, written as CIF:
```
data_LiVOF3
_cell_length_a 5.014
_cell_length_b 5.666
_cell_length_c 5.677
_cell_angle_alpha 60.29
_cell_angle_beta 81.36
_cell_angle_gamma 90.00
_symmetry_space_group_name_H-M 'P 1'
_symmetry_Int_Tables_number 1
loop_
_symmetry_equiv_pos_as_xyz
'x,y,z'
loop_
_atom_site_label
_atom_site_type_symbol
_atom_site_fract_x
_atom_site_fract_y
_atom_site_fract_z
Li1 Li 0.000 0.000 0.000
Li2 Li 0.187 0.420 0.156
V1 V 0.093 0.692 0.579
V2 V 0.593 0.410 0.579
O1 O 0.254 0.380 0.771
O2 O 0.932 0.571 0.387
F1 F 0.031 0.054 0.318
F2 F 0.155 0.794 0.840
F3 F 0.450 0.775 0.363
F4 F 0.485 0.317 0.344
F5 F 0.700 0.084 0.815
F6 F 0.735 0.562 0.794
```


Density functional theory data (meta-GGA SCAN) for YPbI2N at its PBEsol-relaxed geometry.

For the density of states at the Fermi level, the calculation gives 0.347 states/eV/atom. The formation energy without anion corrections comes out at 0.444 eV per atom. Its total energy is -36.84 eV/atom.

Cell and atoms, written as CIF:
```
data_YPbI2N
_cell_length_a 6.172
_cell_length_b 6.172
_cell_length_c 4.063
_cell_angle_alpha 90.00
_cell_angle_beta 90.00
_cell_angle_gamma 90.00
_symmetry_space_group_name_H-M 'P 4/m m m'
_symmetry_Int_Tables_number 123
_symmetry_space_group_name_Hall '-P 4 2'
loop_
_atom_site_label
_atom_site_type_symbol
_atom_site_fract_x
_atom_site_fract_y
_atom_site_fract_z
Y1 Y 0.000 0.000 0.000
Pb1 Pb 0.500 0.500 0.500
I1 I 0.000 0.500 0.500
N1 N 0.500 0.500 0.000
```


no.,volume (Å³/atom)
1,28.7
2,11.5
3,39.7
4,20.9
5,15.5
6,14.6
7,19.1
8,14.5
9,14.8
10,23.0
11,16.5
12,11.5
13,31.0